An optimized crystal structure of MgPSe2. Source: the Alexandria database, functional PBE.

Cell and atoms, written as POSCAR:
```
MgPSe2
1.0
-2.639 -0.764 -2.624
-1.749 -3.461 2.766
-3.314 2.068 2.732
Se P Mg
2 1 1
Direct
0.000 0.988 0.988
0.000 0.512 0.512
0.500 0.750 0.750
0.500 0.250 0.250
```

## Properties
- Final energy: -3.726 eV per atom
- E above lowest polymorph: 0.182 eV/atom
- Energy relative to the elements, uncorrected: -233 meV/atom
- Volume: 20.75 Å³ per atom



An optimized crystal structure of Pr4TlCd2Ag. Source: the Alexandria database, functional PBE.

Cell and atoms, written as POSCAR:
```
Pr4TlCd2Ag
1.0
-4.451 -2.440 -2.032
0.513 -3.890 -3.807
-0.833 -8.336 4.479
Cd Tl Ag Pr
2 1 1 4
Direct
0.749 0.749 0.754
0.251 0.251 0.246
0.000 0.000 0.000
0.500 0.500 0.500
0.622 0.622 0.134
0.873 0.873 0.382
0.127 0.127 0.618
0.378 0.378 0.866
```

## Properties
- Final energy: -3.581 eV per atom
- Volume: 28.99 Å³ per atom



An optimized crystal structure of EuI5. Source: the Alexandria database, functional PBE.

Cell and atoms, written as POSCAR:
```
EuI5
1.0
7.991 0.000 0.000
0.000 4.461 0.000
0.000 -2.230 7.536
I Eu
5 1
Direct
0.500 0.500 0.000
0.500 0.832 0.663
0.000 0.357 0.715
0.500 0.168 0.337
0.000 0.643 0.285
0.000 0.000 0.000
```

## Properties
- Final energy: -3.626 eV per atom
- Energy relative to the elements, uncorrected: -622 meV/atom
- Volume: 44.77 Å³ per atom



An optimized crystal structure of Ac6Tl3AsSe2. Source: the Alexandria database, functional PBE.

Cell and atoms, written as POSCAR:
```
Ac6Tl3AsSe2
1.0
-1.474 2.783 3.157
-8.935 -0.086 -4.098
1.671 -9.064 5.622
Se Ac As Tl
2 6 1 3
Direct
0.167 0.332 0.335
0.833 0.668 0.665
0.660 0.091 0.320
0.671 0.569 0.343
0.329 0.431 0.657
0.995 0.768 0.990
0.340 0.909 0.680
0.005 0.232 0.010
0.500 0.000 0.000
0.166 0.829 0.333
0.834 0.171 0.667
0.500 0.500 0.000
```

## Properties
- Final energy: -4.607 eV per atom
- Energy relative to the elements, uncorrected: -993 meV/atom
- Volume: 36.03 Å³ per atom



An optimized crystal structure of Dy6As2PbSe3. Source: the Alexandria database, functional PBE.

Cell and atoms, written as POSCAR:
```
Dy6As2PbSe3
1.0
-2.426 -0.590 3.320
6.486 -3.205 4.170
1.716 9.135 0.279
Se As Dy Pb
3 2 6 1
Direct
0.834 0.168 0.669
0.166 0.832 0.331
0.500 0.500 0.000
0.832 0.664 0.665
0.168 0.336 0.335
0.671 0.577 0.341
0.329 0.423 0.659
0.329 0.904 0.659
0.004 0.261 0.007
0.671 0.096 0.341
0.996 0.739 0.993
0.500 0.000 0.000
```

## Properties
- Final energy: -5.748 eV per atom
- Energy relative to the elements, uncorrected: -1492 meV/atom
- Volume: 25.53 Å³ per atom



An optimized crystal structure of LiCaCu. Source: the Alexandria database, functional PBE.

Cell and atoms, written as POSCAR:
```
LiCaCu
1.0
4.192 0.000 0.000
0.000 5.548 -0.009
-2.096 -1.219 5.986
Cu Ca Li
2 2 2
Direct
0.227 0.874 0.454
0.773 0.126 0.546
0.129 0.315 0.258
0.871 0.685 0.742
0.594 0.788 0.189
0.406 0.212 0.811
```

## Properties
- Final energy: -2.736 eV per atom
- E above lowest polymorph: 0.011 eV/atom
- Volume: 23.20 Å³ per atom